PBE TbNdZnCd, relaxed; symmetry = F-43m; energy above the most stable polymorph in this dataset = 27.6 meV per atom; formation energy from the elements = -0.2968 eV/atom
1.0
7.460 0.000 0.000
0.000 7.460 0.000
0.000 0.000 7.460
Tb Nd Zn Cd
4 4 4 4
Direct
0.000 0.000 0.000
0.000 0.500 0.500
0.500 0.000 0.500
0.500 0.500 0.000
0.000 0.000 0.500
0.000 0.500 0.000
0.500 0.000 0.000
0.500 0.500 0.500
0.250 0.250 0.250
0.250 0.750 0.750
0.750 0.250 0.750
0.750 0.750 0.250
0.250 0.250 0.750
0.250 0.750 0.250
0.750 0.250 0.250
0.750 0.750 0.750

PBE TbNdZnCd, relaxed; symmetry = P4mm; energy above the most stable polymorph in this dataset = 0.0 meV per atom; formation energy from the elements = -0.3244 eV/atom
1.0
3.666 0.000 0.000
0.000 3.666 0.000
0.000 0.000 7.646
Tb Nd Zn Cd
1 1 1 1
Direct
0.000 0.000 0.000
0.000 0.000 0.539
0.500 0.500 0.784
0.500 0.500 0.257